DFT (PBE with a Hubbard U) results for crystalline MnIr3O at its relaxed geometry.

## Properties
The calculation puts the energy above the most stable polymorph in this dataset at 0.00 kcal/mol of atoms. For the total DFT energy (no corrections), the calculation gives -7.175 eV/atom.

a b c (Å): 4.158 4.158 4.158
angles (deg): 90.00 90.00 90.00
Space group Pm-3m (No. 221)
One atom of each set of equivalent atoms:
Mn  0.000  0.000  0.000 (multiplicity 1)
Ir  0.000  0.500  0.500 (multiplicity 3)
O  0.500  0.500  0.500 (multiplicity 1)